Run P
Material: TlHgPt3
Method: DFT, PBE
State: optimized geometry

Results
The symmetry is Pm-3m, No. 221.

Unit cell a=5.0632 b=5.0632 c=5.0632 alpha=90.00 beta=90.00 gamma=90.00
Fractional coordinates of all 5 atoms:
Tl  0.0000  0.0000  0.0000
Hg  0.5000  0.5000  0.5000
Pt  0.0000  0.0000  0.5000
Pt  0.0000  0.5000  0.0000
Pt  0.5000  0.0000  0.0000

---

Run Q
Material: TlHgPt3
Method: DFT, PBE
State: optimized geometry

Results
The symmetry is Pm-3m, No. 221.

Unit cell a=5.0878 b=5.0878 c=5.0878 alpha=90.00 beta=90.00 gamma=90.00
Fractional coordinates of all 5 atoms:
Tl  0.0000  0.0000  0.0000
Hg  0.5000  0.5000  0.5000
Pt  0.0000  0.5000  0.5000
Pt  0.5000  0.0000  0.5000
Pt  0.5000  0.5000  0.0000

---

Quick one: most stable of them? run Q

---

Run P
Material: TlHg3Pt
Method: DFT, PBE
State: optimized geometry

Results
The symmetry is Pm-3m, No. 221.

Unit cell a=5.3228 b=5.3228 c=5.3228 alpha=90.00 beta=90.00 gamma=90.00
Fractional coordinates of all 5 atoms:
Tl  0.0000  0.0000  0.0000
Hg  0.0000  0.5000  0.5000
Hg  0.5000  0.0000  0.5000
Hg  0.5000  0.5000  0.0000
Pt  0.5000  0.5000  0.5000

---

Run Q
Material: TlHg3Pt
Method: DFT, PBE
State: optimized geometry

Results
The symmetry is Pm-3m, No. 221.

Unit cell a=5.6334 b=5.6334 c=5.6334 alpha=90.00 beta=90.00 gamma=90.00
Fractional coordinates of all 5 atoms:
Tl  0.0000  0.0000  0.0000
Hg  0.0000  0.0000  0.5000
Hg  0.0000  0.5000  0.0000
Hg  0.5000  0.0000  0.0000
Pt  0.5000  0.5000  0.5000

---

Quick one: most stable of them? run P

---

Run P
Material: TmHgPt2
Method: DFT, PBE
State: optimized geometry

Results
The symmetry is P4/mmm, No. 123.

Unit cell a=3.5998 b=3.5998 c=5.9442 alpha=90.00 beta=90.00 gamma=90.00
Fractional coordinates of all 4 atoms:
Tm  0.0000  0.0000  0.0000
Hg  0.0000  0.0000  0.5000
Pt  0.5000  0.5000  0.2505
Pt  0.5000  0.5000  0.7495

---

Run Q
Material: TmHgPt2
Method: DFT, PBE
State: optimized geometry

Results
The symmetry is Fm-3m, No. 225.

Unit cell a=4.7748 b=4.7748 c=4.7748 alpha=60.00 beta=60.00 gamma=60.00
Fractional coordinates of all 4 atoms:
Tm  0.0000  0.0000  0.0000
Hg  0.5000  0.5000  0.5000
Pt  0.2500  0.2500  0.2500
Pt  0.7500  0.7500  0.7500

---

Quick one: most stable of them? run P

---

Run P
Material: Tm4HgPt
Method: DFT, PBE
State: optimized geometry

Results
The symmetry is F-43m, No. 216.

Unit cell a=9.5075 b=9.5075 c=9.5075 alpha=60.00 beta=60.00 gamma=60.00
Fractional coordinates of all 24 atoms:
Tm  0.1863  0.1863  0.8137
Tm  0.1863  0.8137  0.1863
Tm  0.1863  0.8137  0.8137
Tm  0.3938  0.3938  0.3938
Tm  0.3938  0.3938  0.8187
Tm  0.3938  0.8187  0.3938
Tm  0.5612  0.5612  0.9388
Tm  0.5612  0.9388  0.5612
Tm  0.5612  0.9388  0.9388
Tm  0.8137  0.1863  0.1863
Tm  0.8137  0.1863  0.8137
Tm  0.8137  0.8137  0.1863
Tm  0.8187  0.3938  0.3938
Tm  0.9388  0.5612  0.5612
Tm  0.9388  0.5612  0.9388
Tm  0.9388  0.9388  0.5612
Hg  0.1628  0.1628  0.1628
Hg  0.1628  0.1628  0.5115
Hg  0.1628  0.5115  0.1628
Hg  0.5115  0.1628  0.1628
Pt  0.1841  0.6053  0.6053
Pt  0.6053  0.1841  0.6053
Pt  0.6053  0.6053  0.1841
Pt  0.6053  0.6053  0.6053

---

Run Q
Material: Tm4HgPt
Method: DFT, PBE
State: optimized geometry

Results
The symmetry is P2_1/c, No. 14.

Unit cell a=7.1569 b=6.9963 c=6.9315 alpha=90.00 beta=92.67 gamma=90.00
Fractional coordinates of all 12 atoms:
Tm  0.1454  0.1589  0.1728
Tm  0.1454  0.3411  0.6728
Tm  0.3284  0.6473  0.1306
Tm  0.3284  0.8527  0.6306
Tm  0.6716  0.1473  0.3694
Tm  0.6716  0.3527  0.8694
Tm  0.8546  0.6589  0.3272
Tm  0.8546  0.8411  0.8272
Hg  0.5000  0.0000  0.0000
Hg  0.5000  0.5000  0.5000
Pt  0.0000  0.0000  0.5000
Pt  0.0000  0.5000  0.0000

---

Quick one: most stable of them? run P

---

Run P
Material: HgPtW3
Method: DFT, PBE
State: optimized geometry

Results
The symmetry is Pm-3m, No. 221.

Unit cell a=4.8047 b=4.8047 c=4.8047 alpha=90.00 beta=90.00 gamma=90.00
Fractional coordinates of all 5 atoms:
Hg  0.0000  0.0000  0.0000
Pt  0.5000  0.5000  0.5000
W  0.0000  0.5000  0.5000
W  0.5000  0.0000  0.5000
W  0.5000  0.5000  0.0000

---

Run Q
Material: HgPtW3
Method: DFT, PBE
State: optimized geometry

Results
The symmetry is Pm-3m, No. 221.

Unit cell a=4.8447 b=4.8447 c=4.8447 alpha=90.00 beta=90.00 gamma=90.00
Fractional coordinates of all 5 atoms:
Hg  0.0000  0.0000  0.0000
Pt  0.5000  0.5000  0.5000
W  0.0000  0.0000  0.5000
W  0.0000  0.5000  0.0000
W  0.5000  0.0000  0.0000

---

Quick one: most stable of them? run P

---

Run P
Material: HgPt3W
Method: DFT, PBE
State: optimized geometry

Results
The symmetry is Pm-3m, No. 221.

Unit cell a=4.9209 b=4.9209 c=4.9209 alpha=90.00 beta=90.00 gamma=90.00
Fractional coordinates of all 5 atoms:
Hg  0.0000  0.0000  0.0000
Pt  0.0000  0.0000  0.5000
Pt  0.0000  0.5000  0.0000
Pt  0.5000  0.0000  0.0000
W  0.5000  0.5000  0.5000

---

Run Q
Material: HgPt3W
Method: DFT, PBE
State: optimized geometry

Results
The symmetry is Pm-3m, No. 221.

Unit cell a=4.8833 b=4.8833 c=4.8833 alpha=90.00 beta=90.00 gamma=90.00
Fractional coordinates of all 5 atoms:
Hg  0.0000  0.0000  0.0000
Pt  0.0000  0.5000  0.5000
Pt  0.5000  0.0000  0.5000
Pt  0.5000  0.5000  0.0000
W  0.5000  0.5000  0.5000

---

Quick one: most stable of them? run Q